Record 1
Below is Mg3Cu at its PBEsol-relaxed geometry, with properties calculated at the meta-GGA SCAN level.

Output
E_form ... -0.026 eV/atom

```
data_Mg3Cu
_symmetry_space_group_name_H-M 'P m m n'
_symmetry_Int_Tables_number 59
_cell_length_a 4.7009
_cell_length_b 5.8948
_cell_length_c 5.2144
_cell_angle_alpha 90.00
_cell_angle_beta 90.00
_cell_angle_gamma 90.00
loop_
_symmetry_equiv_pos_as_xyz
'x,y,z'
'-x,-y,-z'
'-x+1/2,-y+1/2,z'
'x+1/2,y+1/2,-z'
'x+1/2,-y,-z'
'-x+1/2,y,z'
'-x,y+1/2,-z'
'x,-y+1/2,z'
loop_
_atom_site_label
_atom_site_type_symbol
_atom_site_fract_x
_atom_site_fract_y
_atom_site_fract_z
Mg1 Mg 0.2500 0.0005 0.1670
Mg2 Mg 0.2500 0.2500 0.6348
Cu1 Cu 0.2500 0.7500 0.6855
```



Record 2
Below is Mg3Cu2 at its PBEsol-relaxed geometry, with properties calculated at the meta-GGA SCAN level.

Output
E_form ... -0.068 eV/atom

```
data_Mg3Cu2
_symmetry_space_group_name_H-M 'P -3 m 1'
_symmetry_Int_Tables_number 164
_symmetry_space_group_name_Hall '-P 3 2"'
_cell_length_a 4.3681
_cell_length_b 4.3681
_cell_length_c 5.3361
_cell_angle_alpha 90.00
_cell_angle_beta 90.00
_cell_angle_gamma 120.00
loop_
_atom_site_label
_atom_site_type_symbol
_atom_site_fract_x
_atom_site_fract_y
_atom_site_fract_z
Mg1 Mg 0.0000 0.0000 0.0000
Mg2 Mg 0.3333 0.6667 0.3530
Cu1 Cu 0.3333 0.6667 0.8670
```